Record 1
Y2CdRu | the Alexandria database | GGA-PBEsol | relaxed; calculated density = 7.37 Mg/m³; DOS(E_F) = 3.05 states/eV/cell; calculated formation energy = -1.5 eV/f.u.; SG = No. 123; crystal system = tetragonal
1.0
-2.964 -0.290 1.662
1.687 -0.418 2.935
-0.102 7.489 1.126
Ru Cd Y
1 1 2
direct
0.500 0.500 0.500 Ru
0.500 0.500 0.000 Cd
0.000 0.000 0.286 Y
0.000 0.000 0.714 Y

=====

Record 2
Y2CdRu | the Alexandria database | GGA-PBEsol | relaxed; calculated density = 7.12 Mg/m³; DOS(E_F) = 2.72 states/eV/cell; calculated formation energy = -0.1 eV/f.u.; SG = No. 99; crystal system = tetragonal
1.0
-2.477 2.087 0.926
-1.932 -1.186 -2.492
-2.905 -5.637 4.934
Y Cd Ru
2 1 1
direct
0.000 0.000 0.928 Y
0.500 0.500 0.290 Y
0.000 0.000 0.546 Cd
0.500 0.500 0.736 Ru

=====

Record 3
YCdRu3 | the Alexandria database | GGA-PBEsol | relaxed; calculated density = 7.80 Mg/m³; DOS(E_F) = 11.40 states/eV/cell; calculated formation energy = 8.5 eV/f.u.; SG = No. 221; crystal system = cubic
1.0
-3.573 0.811 -3.027
-1.390 -4.525 0.427
-2.809 1.206 3.639
Ru Cd Y
3 1 1
direct
0.500 0.000 0.000 Ru
0.000 0.000 0.500 Ru
0.000 0.500 0.000 Ru
0.000 0.000 0.000 Cd
0.500 0.500 0.500 Y

=====

Record 4
Y10Cd3Ru | the Alexandria database | GGA-PBEsol | relaxed; calculated density = 5.85 Mg/m³; DOS(E_F) = 27.94 states/eV/cell; calculated formation energy = -4.0 eV/f.u.; SG = No. 194; crystal system = hexagonal
1.0
9.481 0.000 0.000
-4.740 8.211 0.000
0.000 0.000 9.673
Y Ru Cd
20 2 6
direct
0.459 0.917 0.750 Y
0.209 0.791 0.060 Y
0.581 0.791 0.060 Y
0.209 0.791 0.440 Y
0.541 0.083 0.250 Y
0.209 0.419 0.440 Y
0.459 0.541 0.750 Y
0.581 0.791 0.440 Y
0.791 0.209 0.560 Y
0.791 0.209 0.940 Y
0.209 0.419 0.060 Y
0.083 0.541 0.750 Y
0.791 0.581 0.940 Y
0.000 0.000 0.000 Y
0.541 0.459 0.250 Y
0.419 0.209 0.940 Y
0.000 0.000 0.500 Y
0.917 0.459 0.250 Y
0.791 0.581 0.560 Y
0.419 0.209 0.560 Y
0.667 0.333 0.750 Ru
0.333 0.667 0.250 Ru
0.771 0.886 0.750 Cd
0.886 0.771 0.250 Cd
0.114 0.886 0.750 Cd
0.886 0.114 0.250 Cd
0.114 0.229 0.750 Cd
0.229 0.114 0.250 Cd

=====

Record 5
YCd3Ru | the Alexandria database | GGA-PBEsol | relaxed; calculated density = 5.27 Mg/m³; DOS(E_F) = 4.61 states/eV/cell; calculated formation energy = 9.1 eV/f.u.; SG = No. 221; crystal system = cubic
1.0
5.497 0.000 0.000
0.000 5.497 0.000
0.000 0.000 5.497
Cd Y Ru
3 1 1
direct
0.000 0.500 0.000 Cd
0.000 0.000 0.500 Cd
0.500 0.000 0.000 Cd
0.000 0.000 0.000 Y
0.500 0.500 0.500 Ru

=====

Record 6
Zn2CdRu | the Alexandria database | GGA-PBEsol | relaxed; calculated density = 9.64 Mg/m³; DOS(E_F) = 2.36 states/eV/cell; calculated formation energy = 0.5 eV/f.u.; SG = No. 38; crystal system = orthorhombic
1.0
-1.317 -0.667 -2.358
-0.368 -3.918 1.314
-3.842 1.491 3.370
Cd Ru Zn
1 1 2
direct
0.554 0.000 0.482 Cd
0.207 0.500 0.790 Ru
0.801 0.000 0.978 Zn
0.938 0.500 0.250 Zn

=====

Record 7
Zn2CdRu | the Alexandria database | GGA-PBEsol | relaxed; calculated density = 9.51 Mg/m³; DOS(E_F) = 2.67 states/eV/cell; calculated formation energy = 0.6 eV/f.u.; SG = No. 25; crystal system = orthorhombic
1.0
-2.046 1.170 1.481
-1.811 -3.432 0.209
2.737 -1.158 4.697
Ru Cd Zn
1 1 2
direct
0.500 0.500 0.776 Ru
0.000 0.000 0.501 Cd
0.500 0.500 0.239 Zn
0.000 0.000 0.984 Zn

=====

Record 8
CdSbS2 | the Alexandria database | GGA-PBEsol | relaxed; formation energy (no corrections) = -0.035 eV/atom; calculated density = 4.76 Mg/m³; DOS(E_F) = 2.29 states/eV/cell; SG = No. 166; crystal system = trigonal
1.0
3.807 0.000 0.000
1.903 3.297 0.000
1.903 1.099 8.291
Cd Sb S
1 1 2
direct
0.000 0.000 0.000 Cd
0.500 0.500 0.500 Sb
0.102 0.102 0.694 S
0.898 0.898 0.306 S

=====

Record 9
CdSb2S | the Alexandria database | GGA-PBEsol | relaxed; formation energy (no corrections) = 0.105 eV/atom; calculated density = 6.69 Mg/m³; DOS(E_F) = 4.52 states/eV/cell; SG = No. 122; crystal system = tetragonal
1.0
4.154 0.000 0.000
0.000 4.154 0.000
-2.077 -2.077 11.166
Sb S Cd
4 2 2
direct
0.125 0.127 0.750 Sb
0.377 0.875 0.250 Sb
0.625 0.623 0.750 Sb
0.873 0.375 0.250 Sb
0.750 0.250 0.500 S
0.500 0.500 0.000 S
0.000 0.000 0.000 Cd
0.250 0.750 0.500 Cd

=====

Record 10
ScCdS2 | the Alexandria database | GGA-PBEsol | relaxed; formation energy (no corrections) = -0.979 eV/atom; calculated density = 3.73 Mg/m³; DOS(E_F) = 6.77 states/eV/cell; SG = No. 122; crystal system = tetragonal
1.0
-5.103 -2.010 2.300
2.974 -2.250 4.632
0.412 6.939 -0.711
S Cd Sc
4 2 2
direct
0.859 0.375 0.250 S
0.125 0.141 0.750 S
0.391 0.875 0.250 S
0.625 0.609 0.750 S
0.000 0.000 0.000 Cd
0.250 0.750 0.500 Cd
0.500 0.500 0.000 Sc
0.750 0.250 0.500 Sc

=====

Record 11
CdSe3S | the Alexandria database | GGA-PBEsol | relaxed; formation energy (no corrections) = 0.366 eV/atom; calculated density = 5.67 Mg/m³; DOS(E_F) = 4.48 states/eV/cell; SG = No. 221; crystal system = cubic
1.0
-1.927 -0.863 -4.328
1.350 -4.612 0.318
-4.202 -1.086 2.088
Se Cd S
3 1 1
direct
0.500 0.000 0.000 Se
0.000 0.000 0.500 Se
0.000 0.500 0.000 Se
0.500 0.500 0.500 Cd
0.000 0.000 0.000 S

=====

Record 12
CdSe2S2 | the Alexandria database | GGA-PBEsol | relaxed; formation energy (no corrections) = 0.197 eV/atom; calculated density = 4.77 Mg/m³; DOS(E_F) = 6.31 states/eV/cell; SG = No. 127; crystal system = tetragonal
1.0
4.134 0.000 0.000
0.000 7.504 0.000
0.000 0.000 7.504
S Se Cd
4 4 2
direct
0.500 0.291 0.209 S
0.500 0.791 0.291 S
0.500 0.709 0.791 S
0.500 0.209 0.709 S
0.000 0.817 0.683 Se
0.000 0.183 0.317 Se
0.000 0.317 0.817 Se
0.000 0.683 0.183 Se
0.000 0.500 0.500 Cd
0.000 0.000 0.000 Cd

=====

Total magnetization
In order: 0.000; 0.000; 0.165; 0.000; 0.480; 0.155; 0.121; 0.000; 0.000; 0.001; 0.000; 0.000
Unit: μB/atom